Dy2Ho2TmMg2 GGA-PBE optimized geometry; N(E_F) = 7.907 states/eV/cell; formation enthalpy at 0 K = -0.012 eV/atom
1.0
2.7006 1.5592 7.9481
-2.7006 1.5592 7.9481
0.0000 -3.1184 7.9481
Dy Ho Tm Mg
2 2 1 2
Direct
0.1543 0.1543 0.1543
0.8456 0.8456 0.8456
0.4264 0.4264 0.4264
0.5736 0.5736 0.5736
0.0000 0.0000 0.0000
0.2893 0.2893 0.2893
0.7107 0.7107 0.7107